Entry from Alexandria: CdIrAu2 after structural relaxation (PBE-GGA).

The space group is Cm (No. 8) and the conventional cell measures 9.655, 3.037 and 4.899 Å, with angles of 90.00, 102.69 and 90.00 degrees. The distinct sites, in fractional coordinates, are Cd at (0.000, 0.000, 0.000), Ir at (0.246, 0.500, 0.238), Au at (0.244, 0.000, 0.735) and Au at (0.490, 0.000, 0.488).

The total energy comes out at -3.912 eV/atom. For the formation energy, the calculation gives 16 kJ per mole of atoms.

Entry from Alexandria: FePt3Au after structural relaxation (PBE-GGA).

The space group is Pm-3m (No. 221) and the conventional cell measures 4.585, 4.585 and 4.585 Å, with angles of 90.00, 90.00 and 90.00 degrees. The distinct sites, in fractional coordinates, are Fe at (0.000, 0.000, 0.000), Pt at (0.000, 0.000, 0.500) and Au at (0.500, 0.500, 0.500).

The total energy comes out at -5.066 eV/atom. For the formation energy, the calculation gives 87 kJ per mole of atoms.

Entry from Alexandria: Sc2Al2I after structural relaxation (PBE-GGA).

The space group is P4/mbm (No. 127) and the conventional cell measures 7.898, 7.898 and 3.759 Å, with angles of 90.00, 90.00 and 90.00 degrees. The distinct sites, in fractional coordinates, are Sc at (0.177, 0.323, 0.000), Al at (0.115, 0.615, 0.500) and I at (0.000, 0.000, 0.000).

The total energy comes out at -4.597 eV/atom.